1.
MgTePb2: relaxed, PBE-GGA. Values from VASP.

Structure (Quantum ESPRESSO input):
```
&SYSTEM
  ibrav = 0, nat = 4, ntyp = 3
/
ATOMIC_SPECIES
Pb 207.20 Pb.upf
Te 127.60 Te.upf
Mg 24.30 Mg.upf
ATOMIC_POSITIONS crystal
Pb 0.000 0.985 0.015
Te 0.000 0.419 0.580
Pb 0.500 0.298 0.202
Mg 0.500 0.797 0.702
CELL_PARAMETERS angstrom
4.174 0.000 0.000
0.000 4.142 0.008
0.000 4.132 7.049
```

The spin magnetization comes out at 0.0 μB per formula unit. As for the formation energy from raw total energies: -0.704 eV/f.u. The space group is Pmm2 (25). Its calculated total energy is -3.21 eV per atom.

=====

2.
NiMoPt3: relaxed, PBE-GGA. Values from VASP.

Structure (Quantum ESPRESSO input):
```
&SYSTEM
  ibrav = 0, nat = 10, ntyp = 3
/
ATOMIC_SPECIES
Pt 195.08 Pt.upf
Ni 58.69 Ni.upf
Mo 95.94 Mo.upf
ATOMIC_POSITIONS crystal
Pt 0.460 0.845 0.201
Pt 0.068 0.844 0.418
Ni 0.861 0.845 0.003
Mo 0.662 0.845 0.606
Pt 0.566 0.344 0.414
Ni 0.164 0.344 0.611
Pt 0.762 0.345 0.806
Pt 0.264 0.844 0.809
Mo 0.363 0.344 0.008
Pt 0.958 0.345 0.197
CELL_PARAMETERS angstrom
-0.527 2.478 -4.025
-4.202 -1.720 1.367
-0.896 4.510 5.708
```

For the formation energy, the calculation gives -1.23 eV per formula unit. The spin magnetization comes out at 0.0 μB per formula unit. The space group is P-1 (2). Its calculated total energy is -7.19 eV per atom.

=====

3.
Ba2AgAs: relaxed, PBE-GGA. Values from VASP.

Structure (Quantum ESPRESSO input):
```
&SYSTEM
  ibrav = 0, nat = 4, ntyp = 3
/
ATOMIC_SPECIES
Ag 107.87 Ag.upf
As 74.92 As.upf
Ba 137.33 Ba.upf
ATOMIC_POSITIONS crystal
Ag 0.750 0.750 0.750
As 0.250 0.250 0.250
Ba 0.512 0.512 0.462
Ba 0.988 0.988 0.038
CELL_PARAMETERS angstrom
-1.836 3.349 2.960
-4.103 -0.881 2.396
2.299 -2.294 7.971
```

For the formation energy, the calculation gives -2.78 eV per formula unit. The spin magnetization comes out at 0.0 μB per formula unit. The space group is R-3m (166). Its calculated total energy is -3.53 eV per atom.

=====

4.
InGePb: relaxed, PBE-GGA. Values from VASP.

Structure (Quantum ESPRESSO input):
```
&SYSTEM
  ibrav = 0, nat = 3, ntyp = 3
/
ATOMIC_SPECIES
Ge 72.64 Ge.upf
In 114.82 In.upf
Pb 207.20 Pb.upf
ATOMIC_POSITIONS crystal
Ge 0.667 0.333 0.354
In 0.333 0.667 0.606
Pb 0.000 0.000 0.041
CELL_PARAMETERS angstrom
4.321 0.000 0.000
-2.161 3.742 0.000
0.000 0.000 5.183
```

For the formation energy, the calculation gives 0.47 eV per formula unit. The spin magnetization comes out at 0.0 μB per formula unit. The space group is P3m1 (156). Its calculated total energy is -3.53 eV per atom.

=====

5.
K2Mo15Se19: relaxed, PBE-GGA. Values from VASP.

Structure (Quantum ESPRESSO input):
```
&SYSTEM
  ibrav = 0, nat = 72, ntyp = 3
/
ATOMIC_SPECIES
Se 78.96 Se.upf
Mo 95.94 Mo.upf
K 39.10 K.upf
ATOMIC_POSITIONS crystal
Se 0.555 0.945 0.250
Mo 0.750 0.908 0.750
Mo 0.050 0.222 0.367
Mo 0.408 0.250 0.250
Mo 0.185 0.873 0.942
Se 0.694 0.303 0.950
Mo 0.639 0.950 0.633
Se 0.676 0.676 0.971
Se 0.448 0.197 0.550
Se 0.324 0.324 0.029
Mo 0.222 0.361 0.367
Mo 0.950 0.778 0.633
K 0.887 0.887 0.339
Mo 0.815 0.127 0.058
Se 0.531 0.191 0.357
Se 0.969 0.579 0.143
Se 0.750 0.445 0.750
Mo 0.685 0.500 0.442
Mo 0.092 0.408 0.250
Mo 0.278 0.450 0.133
Se 0.250 0.555 0.250
Mo 0.500 0.373 0.442
Se 0.697 0.948 0.050
Se 0.806 0.448 0.550
Mo 0.250 0.092 0.250
Mo 0.315 0.500 0.558
Mo 0.627 0.315 0.558
Mo 0.373 0.685 0.442
Se 0.554 0.554 0.339
Se 0.552 0.803 0.450
Se 0.303 0.052 0.950
Mo 0.500 0.627 0.558
Mo 0.000 0.185 0.942
K 0.613 0.613 0.161
Se 0.176 0.176 0.471
Se 0.446 0.446 0.661
Mo 0.873 0.000 0.942
Mo 0.550 0.861 0.867
K 0.387 0.387 0.839
Mo 0.908 0.592 0.750
Mo 0.139 0.278 0.133
K 0.113 0.113 0.661
Se 0.309 0.969 0.143
Se 0.824 0.824 0.529
Mo 0.450 0.139 0.133
Se 0.421 0.691 0.857
Se 0.809 0.079 0.643
Mo 0.778 0.639 0.633
Se 0.055 0.750 0.750
Se 0.803 0.194 0.450
Se 0.691 0.031 0.857
Se 0.031 0.421 0.857
Se 0.579 0.309 0.143
Mo 0.722 0.550 0.867
Se 0.469 0.809 0.643
Mo 0.592 0.750 0.750
Se 0.921 0.531 0.357
Se 0.194 0.552 0.450
Se 0.054 0.054 0.839
Mo 0.861 0.722 0.867
Se 0.052 0.694 0.950
Mo 0.361 0.050 0.367
Se 0.445 0.055 0.750
Se 0.948 0.306 0.050
Se 0.079 0.469 0.643
Mo 0.000 0.815 0.058
Se 0.306 0.697 0.050
Se 0.197 0.806 0.550
Se 0.945 0.250 0.250
Se 0.946 0.946 0.161
Se 0.191 0.921 0.357
Mo 0.127 0.000 0.058
CELL_PARAMETERS angstrom
-9.234 3.486 -0.035
-6.952 -4.495 -5.376
-9.796 -11.837 13.503
```

The spin magnetization comes out at 0.0 μB per formula unit. As for the formation energy from raw total energies: -22.102 eV/f.u. The space group is R-3c (167). Its calculated total energy is -7.03 eV per atom.

=====

6.
Y6CuRu2: relaxed, PBE-GGA. Values from VASP.

Structure (Quantum ESPRESSO input):
```
&SYSTEM
  ibrav = 0, nat = 18, ntyp = 3
/
ATOMIC_SPECIES
Y 88.91 Y.upf
Ru 101.07 Ru.upf
Cu 63.55 Cu.upf
ATOMIC_POSITIONS crystal
Y 0.809 0.754 0.563
Y 0.191 0.754 0.945
Y 0.316 0.987 0.671
Ru 0.317 0.000 0.317
Y 0.096 0.274 0.822
Y 0.684 0.354 0.671
Y 0.316 0.646 0.329
Y 0.547 0.726 0.822
Cu 0.000 0.500 0.500
Ru 0.500 0.376 0.876
Y 0.453 0.274 0.178
Ru 0.500 0.624 0.124
Y 0.684 0.013 0.329
Cu 0.000 0.000 0.000
Ru 0.683 0.000 0.683
Y 0.191 0.246 0.437
Y 0.904 0.726 0.178
Y 0.809 0.246 0.055
CELL_PARAMETERS angstrom
-3.727 3.808 6.502
-5.510 -1.990 -6.029
3.484 -7.316 2.236
```

For the formation energy, the calculation gives -2.28 eV per formula unit. The spin magnetization comes out at 0.0 μB per formula unit. The space group is Immm (71). Its calculated total energy is -7.08 eV per atom.